The following is a DFT calculation (PBE) of CdPb3Au3 after structural relaxation.

Lattice parameters (Å, degrees): 8.8349 10.5401 7.7192 90.00 92.74 90.00
Space group C2/m (No. 12)
Inequivalent atoms, fractional coordinates:
Cd 0.2344 0.0000 0.3289 x4
Pb 0.0000 0.1547 0.0000 x4
Pb 0.0000 0.2530 0.5000 x4
Pb 0.0688 0.5000 0.1955 x4
Au 0.1052 0.0000 0.6670 x4
Au 0.2468 0.2579 0.2223 x8

Computed properties:
total magnetic moment	0.0	μB/cell
electronic total energy	-22.13	eV/f.u.
energy relative to the elements	-37	meV per atom
DOS(E_F)	2.204	states/eV/f.u.